1.
An optimized crystal structure of Ti5Si3, computed with PBE-GGA.

Geometry as POSCAR:
```
Ti5Si3
1.0
7.465 0.000 0.000
-3.732 6.465 0.000
0.000 0.000 5.117
Ti Si
10 6
Direct
0.667 0.333 0.000 Ti
0.000 0.750 0.750 Ti
0.000 0.250 0.250 Ti
0.333 0.667 0.000 Ti
0.667 0.333 0.500 Ti
0.333 0.667 0.500 Ti
0.750 0.750 0.250 Ti
0.250 0.250 0.750 Ti
0.250 0.000 0.250 Ti
0.750 0.000 0.750 Ti
0.608 0.608 0.750 Si
0.000 0.608 0.250 Si
0.392 0.000 0.750 Si
0.608 0.000 0.250 Si
0.392 0.392 0.250 Si
0.000 0.392 0.750 Si
```

Output
- N(E_F): 6.4 states/eV/cell
- Space-group type: P6_3/mcm (193)
- Formation energy (no corrections): -0.7710 eV per atom


2.
An optimized crystal structure of TiSi4, computed with PBE-GGA.

Geometry as POSCAR:
```
TiSi4
1.0
-3.184 -1.867 -2.990
-0.752 -3.576 3.034
-3.444 2.507 2.102
Si Ti
4 1
Direct
0.000 0.500 0.500 Si
0.000 0.000 0.000 Si
0.500 0.000 0.500 Si
0.500 0.500 0.000 Si
0.500 0.500 0.500 Ti
```

Output
- N(E_F): 3.4 states/eV/cell
- Space-group type: Pm-3m (221)
- Formation energy (no corrections): 0.8909 eV per atom


3.
An optimized crystal structure of TiTl2Si, computed with PBE-GGA.

Geometry as POSCAR:
```
TiTl2Si
1.0
7.931 0.000 0.000
0.000 7.931 0.000
3.966 3.966 2.860
Tl Ti Si
4 2 2
Direct
0.375 0.390 0.750 Tl
0.140 0.625 0.250 Tl
0.875 0.860 0.750 Tl
0.610 0.125 0.250 Tl
0.000 0.000 0.000 Ti
0.750 0.250 0.500 Ti
0.500 0.500 0.000 Si
0.250 0.750 0.500 Si
```

Output
- N(E_F): 7.6 states/eV/cell
- Space-group type: I-42d (122)
- Formation energy (no corrections): 0.5126 eV per atom


4.
An optimized crystal structure of TiTlSi2, computed with PBE-GGA.

Geometry as POSCAR:
```
TiTlSi2
1.0
0.000 3.363 3.363
3.363 0.000 3.363
3.363 3.363 0.000
Si Tl Ti
2 1 1
Direct
0.750 0.750 0.750 Si
0.250 0.250 0.250 Si
0.500 0.500 0.500 Tl
0.000 0.000 0.000 Ti
```

Output
- N(E_F): 4.0 states/eV/cell
- Space-group type: Fm-3m (225)
- Formation energy (no corrections): 0.5504 eV per atom


5.
An optimized crystal structure of Ti2Tl2Si, computed with PBE-GGA.

Geometry as POSCAR:
```
Ti2Tl2Si
1.0
6.661 0.000 0.000
0.000 6.661 0.000
0.000 0.000 4.581
Ti Si Tl
4 2 4
Direct
0.658 0.158 0.000 Ti
0.842 0.658 0.000 Ti
0.342 0.842 0.000 Ti
0.158 0.342 0.000 Ti
0.500 0.500 0.000 Si
0.000 0.000 0.000 Si
0.339 0.161 0.500 Tl
0.839 0.339 0.500 Tl
0.661 0.839 0.500 Tl
0.161 0.661 0.500 Tl
```

Output
- N(E_F): 3.1 states/eV/cell
- Space-group type: P4/mbm (127)
- Formation energy (no corrections): -0.0276 eV per atom


6.
An optimized crystal structure of TiTlSi2, computed with PBE-GGA.

Geometry as POSCAR:
```
TiTlSi2
1.0
7.550 0.000 0.000
0.000 7.550 0.000
3.775 3.775 2.808
Si Tl Ti
4 2 2
Direct
0.595 0.125 0.250 Si
0.375 0.405 0.750 Si
0.875 0.845 0.750 Si
0.155 0.625 0.250 Si
0.750 0.250 0.500 Tl
0.000 0.000 0.000 Tl
0.500 0.500 0.000 Ti
0.250 0.750 0.500 Ti
```

Output
- N(E_F): 8.3 states/eV/cell
- Space-group type: I-42d (122)
- Formation energy (no corrections): 0.4443 eV per atom


7.
An optimized crystal structure of TiTl2Si, computed with PBE-GGA.

Geometry as POSCAR:
```
TiTl2Si
1.0
0.000 3.571 3.571
3.571 0.000 3.571
3.571 3.571 0.000
Si Tl Ti
1 2 1
Direct
0.000 0.000 0.000 Si
0.750 0.750 0.750 Tl
0.250 0.250 0.250 Tl
0.500 0.500 0.500 Ti
```

Output
- N(E_F): 2.8 states/eV/cell
- Space-group type: Fm-3m (225)
- Formation energy (no corrections): 0.6082 eV per atom


8.
An optimized crystal structure of TiTlSi3, computed with PBE-GGA.

Geometry as POSCAR:
```
TiTlSi3
1.0
5.107 0.000 0.000
0.000 5.107 0.000
0.000 0.000 5.107
Tl Si Ti
1 3 1
Direct
0.000 0.000 0.000 Tl
0.000 0.500 0.000 Si
0.000 0.000 0.500 Si
0.500 0.000 0.000 Si
0.500 0.500 0.500 Ti
```

Output
- N(E_F): 5.5 states/eV/cell
- Space-group type: Pm-3m (221)
- Formation energy (no corrections): 1.6606 eV per atom